Crystalline Sc2CuCl at its relaxed geometry. Source: Alexandria via LeMat-Bulk, functional PBE-GGA.

Geometry as CIF:
```
data_Sc2CuCl
_chemical_formula_sum 'Sc8 Cu4 Cl4'
_symmetry_space_group_name_H-M 'F -4 3 m'
_symmetry_Int_Tables_number 216
_symmetry_space_group_name_Hall 'F -4 2 3'
_cell_length_a 6.914
_cell_length_b 6.914
_cell_length_c 6.914
_cell_angle_alpha 90.00
_cell_angle_beta 90.00
_cell_angle_gamma 90.00
loop_
_atom_site_label
_atom_site_type_symbol
_atom_site_fract_x
_atom_site_fract_y
_atom_site_fract_z
_atom_site_occupancy
Sc1 Sc 0.000 0.000 0.000 1
Sc2 Sc 0.250 0.250 0.250 1
Cu1 Cu 0.250 0.250 0.750 1
Cl1 Cl 0.000 0.000 0.500 1
```

Crystal system: cubic
Magnetization (μB per formula unit): 2.23
Raw formation energy (eV per atom): 0.314
Relative energy among the computed polymorphs (meV per atom): 982

=====

Crystalline LaBe2P at its relaxed geometry. Source: Alexandria via LeMat-Bulk, functional PBE-GGA.

Geometry as CIF:
```
data_LaBe2P
_chemical_formula_sum 'La4 Be8 P4'
_symmetry_space_group_name_H-M 'I 41/a m d'
_symmetry_Int_Tables_number 141
_cell_length_a 4.325
_cell_length_b 4.325
_cell_length_c 15.200
_cell_angle_alpha 90.00
_cell_angle_beta 90.00
_cell_angle_gamma 90.00
loop_
_symmetry_equiv_pos_as_xyz
'x,y,z'
'-x,-y,-z'
'-y+1/4,x+3/4,z+1/4'
'y+1/4,-x+3/4,-z+1/4'
'-x+1/2,-y,z+1/2'
'x+1/2,y,-z+1/2'
'y+1/4,-x+1/4,z+3/4'
'-y+1/4,x+1/4,-z+3/4'
'x,-y,-z'
'-x,y,z'
'-y+1/4,-x+1/4,-z+3/4'
'y+1/4,x+1/4,z+3/4'
'-x+1/2,y,-z+1/2'
'x+1/2,-y,z+1/2'
'y+1/4,x+3/4,-z+1/4'
'-y+1/4,-x+3/4,z+1/4'
'x+1/2,y+1/2,z+1/2'
'-x+1/2,-y+1/2,-z+1/2'
'-y+3/4,x+1/4,z+3/4'
'y+3/4,-x+1/4,-z+3/4'
'-x,-y+1/2,z'
'x,y+1/2,-z'
'y+3/4,-x+3/4,z+1/4'
'-y+3/4,x+3/4,-z+1/4'
'x+1/2,-y+1/2,-z+1/2'
'-x+1/2,y+1/2,z+1/2'
'-y+3/4,-x+3/4,-z+1/4'
'y+3/4,x+3/4,z+1/4'
'-x,y+1/2,-z'
'x,-y+1/2,z'
'y+3/4,x+1/4,-z+3/4'
'-y+3/4,-x+1/4,z+3/4'
loop_
_atom_site_label
_atom_site_type_symbol
_atom_site_fract_x
_atom_site_fract_y
_atom_site_fract_z
_atom_site_occupancy
La1 La 0.000 0.250 0.375 1
Be1 Be 0.000 0.000 0.000 1
P1 P 0.000 0.250 0.875 1
```

Formation enthalpy at 0 K (eV/atom): -0.351
Crystal system: tetragonal
Magnetization (μB per formula unit): 0.00

=====

Crystalline CsKS12 at its relaxed geometry. Source: Alexandria via LeMat-Bulk, functional PBE-GGA.

Geometry as CIF:
```
data_CsKS12
_chemical_formula_sum 'Cs1 K1 S12'
_symmetry_space_group_name_H-M 'P 4/m m m'
_symmetry_Int_Tables_number 123
_symmetry_space_group_name_Hall '-P 4 2'
_cell_length_a 5.970
_cell_length_b 5.970
_cell_length_c 14.163
_cell_angle_alpha 90.00
_cell_angle_beta 90.00
_cell_angle_gamma 90.00
loop_
_atom_site_label
_atom_site_type_symbol
_atom_site_fract_x
_atom_site_fract_y
_atom_site_fract_z
_atom_site_occupancy
Cs1 Cs 0.000 0.000 0.000 1
K1 K 0.000 0.000 0.500 1
S1 S 0.163 0.500 0.251 1
S2 S 0.500 0.500 0.070 1
S3 S 0.500 0.500 0.430 1
```

Crystal system: tetragonal
Magnetization (μB per formula unit): 0.01
Raw formation energy (eV per atom): 0.072

=====

Crystalline Ce3USe6 at its relaxed geometry. Source: Alexandria via LeMat-Bulk, functional PBE-GGA.

Geometry as CIF:
```
data_Ce3USe6
_chemical_formula_sum 'Ce12 U4 Se24'
_symmetry_space_group_name_H-M 'C m c 21'
_symmetry_Int_Tables_number 36
_cell_length_a 11.420
_cell_length_b 14.111
_cell_length_c 7.254
_cell_angle_alpha 90.00
_cell_angle_beta 90.00
_cell_angle_gamma 90.00
loop_
_symmetry_equiv_pos_as_xyz
'x,y,z'
'-x,-y,z+1/2'
'-x,y,z'
'x,-y,z+1/2'
'x+1/2,y+1/2,z'
'-x+1/2,-y+1/2,z+1/2'
'-x+1/2,y+1/2,z'
'x+1/2,-y+1/2,z+1/2'
loop_
_atom_site_label
_atom_site_type_symbol
_atom_site_fract_x
_atom_site_fract_y
_atom_site_fract_z
_atom_site_occupancy
Ce1 Ce 0.000 0.098 0.000 1
Ce2 Ce 0.186 0.396 0.103 1
U1 U 0.000 0.339 0.613 1
Se1 Se 0.000 0.267 0.252 1
Se2 Se 0.000 0.494 0.865 1
Se3 Se 0.163 0.031 0.298 1
Se4 Se 0.166 0.238 0.815 1
```

Crystal system: orthorhombic
Magnetization (μB per formula unit): 6.00
Raw formation energy (eV per atom): -1.553
Relative energy among the computed polymorphs (meV per atom): 34

=====

Crystalline Ac8GeRh3Cl4 at its relaxed geometry. Source: Alexandria via LeMat-Bulk, functional PBE-GGA.

Geometry as CIF:
```
data_Ac8GeRh3Cl4
_chemical_formula_sum 'Ac16 Ge2 Rh6 Cl8'
_symmetry_space_group_name_H-M 'C 1 2/m 1'
_symmetry_Int_Tables_number 12
_cell_length_a 15.320
_cell_length_b 8.846
_cell_length_c 9.344
_cell_angle_alpha 90.00
_cell_angle_beta 123.19
_cell_angle_gamma 90.00
loop_
_symmetry_equiv_pos_as_xyz
'x,y,z'
'-x,-y,-z'
'-x,y,-z'
'x,-y,z'
'x+1/2,y+1/2,z'
'-x+1/2,-y+1/2,-z'
'-x+1/2,y+1/2,-z'
'x+1/2,-y+1/2,z'
loop_
_atom_site_label
_atom_site_type_symbol
_atom_site_fract_x
_atom_site_fract_y
_atom_site_fract_z
_atom_site_occupancy
Ac1 Ac 0.018 0.240 0.295 1
Ac2 Ac 0.236 0.000 0.709 1
Ac3 Ac 0.242 0.500 0.705 1
Ge1 Ge 0.000 0.500 0.500 1
Rh1 Rh 0.000 0.000 0.500 1
Rh2 Rh 0.250 0.250 0.500 1
Cl1 Cl 0.000 0.000 0.000 1
Cl2 Cl 0.000 0.500 0.000 1
Cl3 Cl 0.250 0.250 0.000 1
```

Crystal system: monoclinic
Magnetization (μB per formula unit): 0.00
Raw formation energy (eV per atom): -1.189

=====

Crystalline LiTbFeC at its relaxed geometry. Source: Alexandria via LeMat-Bulk, functional PBE-GGA.

Geometry as CIF:
```
data_LiTbFeC
_chemical_formula_sum 'Li2 Tb2 Fe2 C2'
_symmetry_space_group_name_H-M 'P 4/n m m'
_symmetry_Int_Tables_number 129
_cell_length_a 3.415
_cell_length_b 3.415
_cell_length_c 10.613
_cell_angle_alpha 90.00
_cell_angle_beta 90.00
_cell_angle_gamma 90.00
loop_
_symmetry_equiv_pos_as_xyz
'x,y,z'
'-x,-y,-z'
'-y+1/2,x,z'
'y+1/2,-x,-z'
'-x+1/2,-y+1/2,z'
'x+1/2,y+1/2,-z'
'y,-x+1/2,z'
'-y,x+1/2,-z'
'x+1/2,-y,-z'
'-x+1/2,y,z'
'-y,-x,-z'
'y,x,z'
'-x,y+1/2,-z'
'x,-y+1/2,z'
'y+1/2,x+1/2,-z'
'-y+1/2,-x+1/2,z'
loop_
_atom_site_label
_atom_site_type_symbol
_atom_site_fract_x
_atom_site_fract_y
_atom_site_fract_z
_atom_site_occupancy
Li1 Li 0.250 0.750 0.000 1
Tb1 Tb 0.250 0.250 0.282 1
Fe1 Fe 0.250 0.750 0.500 1
C1 C 0.250 0.250 0.596 1
```

Formation enthalpy at 0 K (eV/atom): -0.074
Crystal system: tetragonal
Magnetization (μB per formula unit): 0.00

=====

Crystalline ZrCr2Te at its relaxed geometry. Source: Alexandria via LeMat-Bulk, functional PBE-GGA.

Geometry as CIF:
```
data_ZrCr2Te
_chemical_formula_sum 'Zr2 Cr4 Te2'
_symmetry_space_group_name_H-M 'I -4 m 2'
_symmetry_Int_Tables_number 119
_symmetry_space_group_name_Hall 'I -4 -2'
_cell_length_a 4.016
_cell_length_b 4.016
_cell_length_c 8.987
_cell_angle_alpha 90.00
_cell_angle_beta 90.00
_cell_angle_gamma 90.00
loop_
_atom_site_label
_atom_site_type_symbol
_atom_site_fract_x
_atom_site_fract_y
_atom_site_fract_z
_atom_site_occupancy
Zr1 Zr 0.000 0.000 0.000 1
Cr1 Cr 0.000 0.000 0.500 1
Cr2 Cr 0.000 0.500 0.750 1
Te1 Te 0.000 0.500 0.250 1
```

Crystal system: tetragonal
Magnetization (μB per formula unit): 5.35
Raw formation energy (eV per atom): 0.234

=====

Crystalline HfZrNi2 at its relaxed geometry. Source: Alexandria via LeMat-Bulk, functional PBE-GGA.

Geometry as CIF:
```
data_HfZrNi2
_chemical_formula_sum 'Hf2 Zr2 Ni4'
_symmetry_space_group_name_H-M 'P 1 21/m 1'
_symmetry_Int_Tables_number 11
_cell_length_a 5.546
_cell_length_b 4.459
_cell_length_c 5.561
_cell_angle_alpha 90.00
_cell_angle_beta 107.87
_cell_angle_gamma 90.00
loop_
_symmetry_equiv_pos_as_xyz
'x,y,z'
'-x,-y,-z'
'-x,y+1/2,-z'
'x,-y+1/2,z'
loop_
_atom_site_label
_atom_site_type_symbol
_atom_site_fract_x
_atom_site_fract_y
_atom_site_fract_z
_atom_site_occupancy
Hf1 Hf 0.135 0.250 0.365 1
Zr1 Zr 0.379 0.750 0.120 1
Ni1 Ni 0.110 0.250 0.831 1
Ni2 Ni 0.332 0.750 0.608 1
```

Formation enthalpy at 0 K (eV/atom): -0.400
Crystal system: monoclinic
Magnetization (μB per formula unit): 0.00

=====

Crystalline Li2MgCd at its relaxed geometry. Source: Alexandria via LeMat-Bulk, functional PBE-GGA.

Geometry as CIF:
```
data_Li2MgCd
_chemical_formula_sum 'Li6 Mg3 Cd3'
_symmetry_space_group_name_H-M 'R -3 m'
_symmetry_Int_Tables_number 166
_symmetry_space_group_name_Hall '-R 3 2"'
_cell_length_a 3.0673
_cell_length_b 3.0673
_cell_length_c 30.0970
_cell_angle_alpha 90.00
_cell_angle_beta 90.00
_cell_angle_gamma 120.00
loop_
_atom_site_label
_atom_site_type_symbol
_atom_site_fract_x
_atom_site_fract_y
_atom_site_fract_z
_atom_site_occupancy
Li1 Li 0.0000 0.0000 0.2484 1
Mg1 Mg 0.0000 0.0000 0.0000 1
Cd1 Cd 0.0000 0.0000 0.5000 1
```

Formation enthalpy at 0 K (eV/atom): -0.113
Crystal system: trigonal
Magnetization (μB per formula unit): 0.00
Relative energy among the computed polymorphs (meV per atom): 65

=====

Crystalline TbY6Ho2Sc at its relaxed geometry. Source: Alexandria via LeMat-Bulk, functional PBE-GGA.

Geometry as CIF:
```
data_TbY6Ho2Sc
_chemical_formula_sum 'Tb4 Y24 Ho8 Sc4'
_symmetry_space_group_name_H-M 'C 1 2/c 1'
_symmetry_Int_Tables_number 15
_cell_length_a 9.068
_cell_length_b 14.811
_cell_length_c 9.484
_cell_angle_alpha 90.00
_cell_angle_beta 98.02
_cell_angle_gamma 90.00
loop_
_symmetry_equiv_pos_as_xyz
'x,y,z'
'-x,-y,-z'
'-x,y,-z+1/2'
'x,-y,z+1/2'
'x+1/2,y+1/2,z'
'-x+1/2,-y+1/2,-z'
'-x+1/2,y+1/2,-z+1/2'
'x+1/2,-y+1/2,z+1/2'
loop_
_atom_site_label
_atom_site_type_symbol
_atom_site_fract_x
_atom_site_fract_y
_atom_site_fract_z
_atom_site_occupancy
Tb1 Tb 0.000 0.023 0.250 1
Y1 Y 0.061 0.185 0.944 1
Y2 Y 0.100 0.394 0.115 1
Y3 Y 0.215 0.220 0.312 1
Ho1 Ho 0.249 0.450 0.451 1
Sc1 Sc 0.000 0.413 0.750 1
```

Formation enthalpy at 0 K (eV/atom): 0.126
Crystal system: monoclinic
Magnetization (μB per formula unit): 0.00

=====

Crystalline NaLi2RhF8 at its relaxed geometry. Source: Alexandria via LeMat-Bulk, functional PBE-GGA.

Geometry as CIF:
```
data_NaLi2RhF8
_chemical_formula_sum 'Na2 Li4 Rh2 F16'
_symmetry_space_group_name_H-M 'I -4 m 2'
_symmetry_Int_Tables_number 119
_symmetry_space_group_name_Hall 'I -4 -2'
_cell_length_a 6.784
_cell_length_b 6.784
_cell_length_c 6.612
_cell_angle_alpha 90.00
_cell_angle_beta 90.00
_cell_angle_gamma 90.00
loop_
_atom_site_label
_atom_site_type_symbol
_atom_site_fract_x
_atom_site_fract_y
_atom_site_fract_z
_atom_site_occupancy
Na1 Na 0.000 0.000 0.000 1
Li1 Li 0.000 0.000 0.500 1
Li2 Li 0.000 0.500 0.250 1
Rh1 Rh 0.000 0.500 0.750 1
F1 F 0.000 0.214 0.691 1
F2 F 0.000 0.330 0.028 1
```

Crystal system: tetragonal
Magnetization (μB per formula unit): 2.04
Raw formation energy (eV per atom): -1.949

=====

Crystalline W2SCl8 at its relaxed geometry. Source: Alexandria via LeMat-Bulk, functional PBE-GGA.

Geometry as CIF:
```
data_W2SCl8
_chemical_formula_sum 'W4 S2 Cl16'
_symmetry_space_group_name_H-M 'C 1 2/m 1'
_symmetry_Int_Tables_number 12
_cell_length_a 8.222
_cell_length_b 11.691
_cell_length_c 7.684
_cell_angle_alpha 90.00
_cell_angle_beta 90.02
_cell_angle_gamma 90.00
loop_
_symmetry_equiv_pos_as_xyz
'x,y,z'
'-x,-y,-z'
'-x,y,-z'
'x,-y,z'
'x+1/2,y+1/2,z'
'-x+1/2,-y+1/2,-z'
'-x+1/2,y+1/2,-z'
'x+1/2,-y+1/2,z'
loop_
_atom_site_label
_atom_site_type_symbol
_atom_site_fract_x
_atom_site_fract_y
_atom_site_fract_z
_atom_site_occupancy
W1 W 0.101 0.000 0.232 1
S1 S 0.000 0.000 0.500 1
Cl1 Cl 0.090 0.196 0.203 1
Cl2 Cl 0.128 0.500 0.706 1
Cl3 Cl 0.175 0.000 0.908 1
```

Crystal system: monoclinic
Magnetization (μB per formula unit): 1.53
Raw formation energy (eV per atom): -0.772